P:
This record from Alexandria describes a geometry-optimized TiAlW structure. The functional is PBE.

Values from the calculation:
Space-group type ... No. 166
Fermi-level density of states ... 5.819 states/eV per cell
Spin magnetization ... 0.000 Bohr magnetons per cell

Cell: 2.8026 2.8026 15.0956 Å, 84.67 84.67 60.00°
Element x y z (fractional)
Ti 0.6927 0.6927 0.9220
Ti 0.3073 0.3073 0.0780
W 0.0804 0.0804 0.7589
W 0.9196 0.9196 0.2411
Al 0.1403 0.1403 0.5790
Al 0.8597 0.8597 0.4210


Q:
This record from Alexandria describes a geometry-optimized TiAlW structure. The functional is PBE.

Values from the calculation:
Space-group type ... No. 156
Fermi-level density of states ... 3.418 states/eV per cell
Spin magnetization ... 0.000 Bohr magnetons per cell

Cell: 2.6943 4.5217 4.5217 Å, 120.00 90.00 90.00°
Element x y z (fractional)
Al 0.6776 0.3333 0.6667
W 0.0153 0.0000 0.0000
Ti 0.3070 0.6667 0.3333


R:
This record from Alexandria describes a geometry-optimized TiAlW structure. The functional is PBE.

Values from the calculation:
Space-group type ... No. 11
Fermi-level density of states ... 5.278 states/eV per cell
Spin magnetization ... 0.000 Bohr magnetons per cell

Cell: 2.8022 4.4020 8.3834 Å, 90.00 111.53 90.00°
Element x y z (fractional)
Ti 0.7520 0.2500 0.2373
Ti 0.2480 0.7500 0.7627
Al 0.1376 0.7500 0.0931
Al 0.8624 0.2500 0.9069
W 0.7370 0.2500 0.5780
W 0.2630 0.7500 0.4220


Going by the energies, R is most stable and the next is 73 meV per atom up.


P:
This record from Alexandria describes a geometry-optimized TiAlW3 structure. The functional is PBE.

Values from the calculation:
Space-group type ... No. 221
Fermi-level density of states ... 5.856 states/eV per cell
Spin magnetization ... 0.000 Bohr magnetons per cell

Cell: 4.5393 4.5393 4.5393 Å, 90.00 90.00 90.00°
Element x y z (fractional)
Al 0.0000 0.0000 0.0000
W 0.0000 0.5000 0.0000
W 0.0000 0.0000 0.5000
W 0.5000 0.0000 0.0000
Ti 0.5000 0.5000 0.5000


Q:
This record from Alexandria describes a geometry-optimized TiAlW3 structure. The functional is PBE.

Values from the calculation:
Space-group type ... No. 221
Fermi-level density of states ... 5.071 states/eV per cell
Spin magnetization ... 0.000 Bohr magnetons per cell

Cell: 4.5768 4.5768 4.5768 Å, 90.00 90.00 90.00°
Element x y z (fractional)
Al 0.5000 0.5000 0.5000
W 0.0000 0.5000 0.0000
W 0.0000 0.0000 0.5000
W 0.5000 0.0000 0.0000
Ti 0.0000 0.0000 0.0000


Going by the energies, P is most stable and the next is 186 meV per atom up.